The following is a DFT calculation (PBE) of Y2Sc4Ge3H2 after structural relaxation.

Properties
DFT total energy ... -6.047 eV/atom
Calculated density ... 4.58 g/cm3
Volume ... 19.018 A^3/atom

a = 11.702 Å, b = 11.702 Å, c = 11.702 Å
α = 158.81°, β = 158.81°, γ = 30.14°
Sites, in units of the cell vectors:
Y (0.198, 0.198, 0.000)
Y (0.802, 0.802, 0.000)
Sc (0.078, 0.578, 0.500)
Sc (0.422, 0.922, 0.500)
Sc (0.578, 0.078, 0.500)
Sc (0.922, 0.422, 0.500)
Ge (0.332, 0.332, 0.000)
Ge (0.500, 0.500, 0.000)
Ge (0.668, 0.668, 0.000)
H (0.095, 0.095, 0.000)
H (0.905, 0.905, 0.000)